# 1
A PBEsol-optimized structure of CsCo3Re. Source: Alexandria via LeMat-Bulk, functional SCAN.

abc: 4.581 4.581 4.581
angles: 90.00 90.00 90.00
Element x y z (fractional)
Cs  0.500  0.500  0.500
Re  0.000  0.000  0.000
Co  0.000  0.500  0.000
Co  0.000  0.000  0.500
Co  0.500  0.000  0.000

## Properties
formation energy from the elements: 7.804 eV per formula unit
space group: Pm-3m
electronic total energy: -30.6035 eV/atom
crystal system: cubic

***

# 2
A PBEsol-optimized structure of CsCo3Re. Source: Alexandria via LeMat-Bulk, functional SCAN.

abc: 4.481 4.481 4.481
angles: 90.00 90.00 90.00
Element x y z (fractional)
Cs  0.000  0.000  0.000
Re  0.500  0.500  0.500
Co  0.000  0.500  0.000
Co  0.000  0.000  0.500
Co  0.500  0.000  0.000

## Properties
formation energy from the elements: 16.165 eV per formula unit
space group: Pm-3m
electronic total energy: -28.9312 eV/atom
crystal system: cubic

***

# 3
A PBEsol-optimized structure of Cs2Co3S4. Source: Alexandria via LeMat-Bulk, functional SCAN.

abc: 5.267 8.908 8.908
angles: 72.99 72.80 72.80
Element x y z (fractional)
Cs  0.749  0.625  0.375
Cs  0.751  0.125  0.875
Cs  0.249  0.875  0.125
Cs  0.251  0.375  0.625
Co  0.250  0.496  0.004
Co  0.250  0.004  0.496
Co  0.750  0.996  0.504
Co  0.750  0.750  0.750
Co  0.750  0.504  0.996
Co  0.250  0.250  0.250
S  0.416  0.955  0.707
S  0.916  0.207  0.455
S  0.577  0.545  0.793
S  0.584  0.045  0.293
S  0.084  0.793  0.545
S  0.423  0.455  0.207
S  0.077  0.293  0.045
S  0.923  0.707  0.955

## Properties
space group: Ibam
electronic total energy: -19.1897 eV/atom
crystal system: orthorhombic

***

# 4
A PBEsol-optimized structure of CsCo2S2. Source: Alexandria via LeMat-Bulk, functional SCAN.

abc: 4.172 4.172 6.671
angles: 108.22 108.22 90.00
Element x y z (fractional)
Cs  0.000  0.000  0.000
S  0.250  0.750  0.500
S  0.750  0.250  0.500
Co  0.306  0.306  0.613
Co  0.694  0.694  0.387

## Properties
space group: I4/mmm
electronic total energy: -18.5231 eV/atom
crystal system: tetragonal

***

# 5
A PBEsol-optimized structure of CsCo3S. Source: Alexandria via LeMat-Bulk, functional SCAN.

abc: 4.678 4.678 4.678
angles: 90.00 90.00 90.00
Element x y z (fractional)
Cs  0.000  0.000  0.000
S  0.500  0.500  0.500
Co  0.000  0.500  0.000
Co  0.000  0.000  0.500
Co  0.500  0.000  0.000

## Properties
space group: Pm-3m
electronic total energy: -17.4904 eV/atom
crystal system: cubic

***

# 6
A PBEsol-optimized structure of CsCoSb2. Source: Alexandria via LeMat-Bulk, functional SCAN.

abc: 5.244 5.244 5.244
angles: 60.00 60.00 60.00
Element x y z (fractional)
Cs  0.500  0.500  0.500
Sb  0.250  0.250  0.250
Sb  0.750  0.750  0.750
Co  0.000  0.000  0.000

## Properties
space group: Fm-3m
electronic total energy: -31.6219 eV/atom
crystal system: cubic

***

# 7
A PBEsol-optimized structure of CsSc2TlCo. Source: Alexandria via LeMat-Bulk, functional SCAN.

abc: 4.564 5.202 5.202
angles: 90.00 90.00 90.00
Element x y z (fractional)
Cs  0.000  0.000  0.000
Sc  0.000  0.000  0.500
Sc  0.000  0.500  0.000
Tl  0.500  0.500  0.500
Co  0.500  0.000  0.000

## Properties
formation energy from the elements: 7.777 eV per formula unit
space group: P4/mmm
electronic total energy: -29.6341 eV/atom
crystal system: tetragonal

***

# 8
A PBEsol-optimized structure of CsY2ScCo. Source: Alexandria via LeMat-Bulk, functional SCAN.

abc: 5.054 5.470 5.470
angles: 90.00 90.00 90.00
Element x y z (fractional)
Cs  0.000  0.000  0.000
Y  0.000  0.000  0.500
Y  0.000  0.500  0.000
Co  0.500  0.500  0.500
Sc  0.500  0.000  0.000

## Properties
formation energy from the elements: 8.406 eV per formula unit
space group: P4/mmm
electronic total energy: -23.3263 eV/atom
crystal system: tetragonal

***

# 9
A PBEsol-optimized structure of CsCoSe2. Source: Alexandria via LeMat-Bulk, functional SCAN.

abc: 6.598 6.598 6.598
angles: 76.96 67.22 112.78
Element x y z (fractional)
Cs  0.000  0.000  0.000
Cs  0.500  0.250  0.250
Co  0.000  0.500  0.500
Co  0.500  0.750  0.750
Se  0.859  0.125  0.516
Se  0.141  0.625  0.734
Se  0.641  0.516  0.625
Se  0.359  0.734  0.125

## Properties
space group: I-42d
electronic total energy: -24.4414 eV/atom
crystal system: tetragonal

***

# 10
A PBEsol-optimized structure of CsCo2Se. Source: Alexandria via LeMat-Bulk, functional SCAN.

abc: 4.995 4.995 8.381
angles: 107.34 107.34 90.00
Element x y z (fractional)
Cs  0.000  0.000  0.000
Cs  0.250  0.750  0.500
Co  0.625  0.375  0.750
Co  0.125  0.375  0.750
Co  0.625  0.875  0.250
Co  0.625  0.375  0.250
Se  0.500  0.500  0.000
Se  0.750  0.250  0.500

## Properties
space group: I4_1/amd
electronic total energy: -22.9143 eV/atom
crystal system: tetragonal

***

# 11
A PBEsol-optimized structure of Cs3CoTc. Source: Alexandria via LeMat-Bulk, functional SCAN.

abc: 5.681 5.681 5.681
angles: 90.00 90.00 90.00
Element x y z (fractional)
Cs  0.000  0.500  0.000
Cs  0.000  0.000  0.500
Cs  0.500  0.000  0.000
Co  0.500  0.500  0.500
Tc  0.000  0.000  0.000

## Properties
formation energy from the elements: 8.861 eV per formula unit
space group: Pm-3m
electronic total energy: -31.3870 eV/atom
crystal system: cubic

***

# 12
A PBEsol-optimized structure of Cs3CoTe. Source: Alexandria via LeMat-Bulk, functional SCAN.

abc: 7.189 7.189 7.189
angles: 90.00 90.00 90.00
Element x y z (fractional)
Cs  0.000  0.500  0.000
Cs  0.000  0.000  0.500
Cs  0.500  0.000  0.000
Te  0.000  0.000  0.000
Co  0.500  0.500  0.500

## Properties
space group: Pm-3m
electronic total energy: -33.6707 eV/atom
crystal system: cubic

***

# 13
A PBEsol-optimized structure of Cs2YTiCo. Source: Alexandria via LeMat-Bulk, functional SCAN.

abc: 5.369 5.517 5.517
angles: 90.00 90.00 90.00
Element x y z (fractional)
Cs  0.000  0.000  0.500
Cs  0.000  0.500  0.000
Y  0.500  0.000  0.000
Co  0.000  0.000  0.000
Ti  0.500  0.500  0.500

## Properties
formation energy from the elements: 7.292 eV per formula unit
space group: P4/mmm
electronic total energy: -25.9012 eV/atom
crystal system: tetragonal

***

# 14
A PBEsol-optimized structure of Cs3CoW. Source: Alexandria via LeMat-Bulk, functional SCAN.

abc: 5.985 5.985 5.985
angles: 90.00 90.00 90.00
Element x y z (fractional)
Cs  0.000  0.500  0.000
Cs  0.000  0.000  0.500
Cs  0.500  0.000  0.000
Co  0.000  0.000  0.000
W  0.500  0.500  0.500

## Properties
formation energy from the elements: 9.499 eV per formula unit
space group: Pm-3m
electronic total energy: -38.1849 eV/atom
crystal system: cubic

***

# 15
A PBEsol-optimized structure of Cs2YCo. Source: Alexandria via LeMat-Bulk, functional SCAN.

abc: 5.715 5.715 5.715
angles: 60.00 60.00 60.00
Element x y z (fractional)
Cs  0.250  0.250  0.250
Cs  0.750  0.750  0.750
Y  0.500  0.500  0.500
Co  0.000  0.000  0.000

## Properties
formation energy from the elements: 5.577 eV per formula unit
space group: Fm-3m
electronic total energy: -28.7978 eV/atom
crystal system: cubic

***

# 16
A PBEsol-optimized structure of CoCu. Source: Alexandria via LeMat-Bulk, functional SCAN.

abc: 3.613 3.613 3.613
angles: 60.00 60.00 60.00
Element x y z (fractional)
Co  0.000  0.000  0.000
Cu  0.750  0.750  0.750

## Properties
formation energy from the elements: 2.742 eV per formula unit
space group: F-43m
electronic total energy: -14.8807 eV/atom
crystal system: cubic

***

# 17
A PBEsol-optimized structure of CoCu7. Source: Alexandria via LeMat-Bulk, functional SCAN.

abc: 5.011 5.011 5.011
angles: 60.00 60.00 60.00
Element x y z (fractional)
Co  0.000  0.000  0.000
Cu  0.500  0.000  0.000
Cu  0.500  0.500  0.000
Cu  0.000  0.500  0.000
Cu  0.500  0.000  0.500
Cu  0.000  0.000  0.500
Cu  0.000  0.500  0.500
Cu  0.500  0.500  0.500

## Properties
formation energy from the elements: 0.379 eV per formula unit
space group: Fm-3m
electronic total energy: -15.4150 eV/atom
crystal system: cubic

***

# 18
A PBEsol-optimized structure of Co2Cu. Source: Alexandria via LeMat-Bulk, functional SCAN.

abc: 2.484 2.484 5.471
angles: 103.12 103.12 90.00
Element x y z (fractional)
Co  0.673  0.673  0.347
Co  0.327  0.327  0.653
Cu  0.000  0.000  0.000

## Properties
formation energy from the elements: 0.363 eV per formula unit
space group: I4/mmm
electronic total energy: -16.4818 eV/atom
crystal system: tetragonal

***

# 19
A PBEsol-optimized structure of CoCu. Source: Alexandria via LeMat-Bulk, functional SCAN.

abc: 3.919 3.919 4.639
angles: 90.00 90.00 120.00
Element x y z (fractional)
Co  0.667  0.333  0.250
Co  0.333  0.667  0.750
Cu  0.667  0.333  0.750
Cu  0.333  0.667  0.250

## Properties
formation energy from the elements: 2.377 eV per formula unit
space group: P6_3/mmc
electronic total energy: -15.0631 eV/atom
crystal system: hexagonal

***

# 20
A PBEsol-optimized structure of CoCu. Source: Alexandria via LeMat-Bulk, functional SCAN.

abc: 2.486 2.486 6.992
angles: 90.00 90.00 90.00
Element x y z (fractional)
Co  0.500  0.000  0.113
Co  0.000  0.500  0.887
Cu  0.500  0.000  0.630
Cu  0.000  0.500  0.370

## Properties
formation energy from the elements: 0.176 eV per formula unit
space group: P4/nmm
electronic total energy: -16.1639 eV/atom
crystal system: tetragonal

***

# 21
A PBEsol-optimized structure of CoCu. Source: Alexandria via LeMat-Bulk, functional SCAN.

abc: 3.306 3.306 3.306
angles: 60.00 60.00 60.00
Element x y z (fractional)
Co  0.000  0.000  0.000
Cu  0.500  0.500  0.500

## Properties
formation energy from the elements: 1.867 eV per formula unit
space group: Fm-3m
electronic total energy: -15.3185 eV/atom
crystal system: cubic

***

# 22
A PBEsol-optimized structure of Co2Cu. Source: Alexandria via LeMat-Bulk, functional SCAN.

abc: 2.465 2.465 6.099
angles: 90.00 90.00 120.00
Element x y z (fractional)
Co  0.667  0.333  0.343
Co  0.333  0.667  0.657
Cu  0.000  0.000  0.000

## Properties
formation energy from the elements: 0.285 eV per formula unit
space group: P-3m1
electronic total energy: -16.5078 eV/atom
crystal system: trigonal

***

# 23
A PBEsol-optimized structure of CoCu. Source: Alexandria via LeMat-Bulk, functional SCAN.

abc: 2.475 2.475 8.157
angles: 90.00 90.00 120.00
Element x y z (fractional)
Co  0.667  0.333  0.116
Co  0.333  0.667  0.884
Cu  0.667  0.333  0.629
Cu  0.333  0.667  0.371

## Properties
formation energy from the elements: 0.161 eV per formula unit
space group: P-3m1
electronic total energy: -16.1711 eV/atom
crystal system: trigonal

***

# 24
A PBEsol-optimized structure of CoCu. Source: Alexandria via LeMat-Bulk, functional SCAN.

abc: 3.950 3.950 3.950
angles: 60.00 60.00 60.00
Element x y z (fractional)
Co  0.250  0.250  0.250
Co  0.000  0.000  0.000
Cu  0.500  0.500  0.500
Cu  0.750  0.750  0.750

## Properties
formation energy from the elements: 0.250 eV per formula unit
space group: Fd-3m
electronic total energy: -16.1266 eV/atom
crystal system: cubic

***

# 25
A PBEsol-optimized structure of Co3Cu2. Source: Alexandria via LeMat-Bulk, functional SCAN.

abc: 3.821 3.821 4.756
angles: 90.00 90.00 120.00
Element x y z (fractional)
Co  0.000  0.000  0.000
Co  0.333  0.667  0.367
Co  0.667  0.333  0.633
Cu  0.333  0.667  0.852
Cu  0.667  0.333  0.148

## Properties
formation energy from the elements: 2.482 eV per formula unit
space group: P-3m1
electronic total energy: -15.9660 eV/atom
crystal system: trigonal

***

# 26
A PBEsol-optimized structure of CoCu. Source: Alexandria via LeMat-Bulk, functional SCAN.

abc: 2.402 3.896 4.851
angles: 90.00 104.33 90.00
Element x y z (fractional)
Co  0.561  0.750  0.121
Co  0.439  0.250  0.879
Cu  0.820  0.750  0.639
Cu  0.180  0.250  0.361

## Properties
formation energy from the elements: 0.384 eV per formula unit
space group: Cmcm
electronic total energy: -16.0600 eV/atom
crystal system: orthorhombic

***

# 27
A PBEsol-optimized structure of Er2Co3Cu. Source: Alexandria via LeMat-Bulk, functional SCAN.

abc: 4.951 4.951 4.992
angles: 60.27 60.27 60.00
Element x y z (fractional)
Co  0.500  0.500  0.000
Co  0.500  0.000  0.000
Co  0.000  0.500  0.000
Cu  0.500  0.500  0.500
Er  0.122  0.122  0.633
Er  0.878  0.878  0.367

## Properties
formation energy from the elements: -1.339 eV per formula unit
space group: R-3m
electronic total energy: -28.1886 eV/atom
crystal system: trigonal

***

# 28
A PBEsol-optimized structure of LiCoCuF6. Source: Alexandria via LeMat-Bulk, functional SCAN.

abc: 4.533 4.533 8.920
angles: 90.00 90.00 90.00
Element x y z (fractional)
Li  0.500  0.500  0.168
Li  0.000  0.000  0.668
Co  0.500  0.500  0.835
Co  0.000  0.000  0.335
Cu  0.500  0.500  0.495
Cu  0.000  0.000  0.995
F  0.190  0.810  0.180
F  0.191  0.809  0.489
F  0.214  0.786  0.832
F  0.810  0.190  0.180
F  0.809  0.191  0.489
F  0.786  0.214  0.832
F  0.309  0.309  0.989
F  0.286  0.286  0.332
F  0.310  0.310  0.680
F  0.714  0.714  0.332
F  0.690  0.690  0.680
F  0.691  0.691  0.989

## Properties
space group: P4_2nm
electronic total energy: -8.5277 eV/atom
crystal system: tetragonal